(1)
## GaRh5S8 (PBE)

Data for a geometry-optimized GaRh5S8 structure.

Summary:
* formation energy (no corrections): -452 meV per atom
* spin magnetization: 0.01 μB per formula unit
* symmetry: F-43m

a b c (Å): 7.0402 7.0402 7.0402
angles (deg): 60.00 60.00 60.00
Atoms (fractional coordinates):
Ga 0.0000 0.0000 0.0000
Rh 0.3780 0.3780 0.3780
Rh 0.3780 0.3780 0.8661
Rh 0.3780 0.8661 0.3780
Rh 0.7500 0.7500 0.7500
Rh 0.8661 0.3780 0.3780
S 0.1363 0.1363 0.1363
S 0.1363 0.1363 0.5910
S 0.1363 0.5910 0.1363
S 0.1525 0.6158 0.6158
S 0.5910 0.1363 0.1363
S 0.6158 0.1525 0.6158
S 0.6158 0.6158 0.1525
S 0.6158 0.6158 0.6158



(2)
## Ta3IN (PBE)

Data for a geometry-optimized Ta3IN structure.

Summary:
* formation energy (no corrections): 284 meV per atom
* spin magnetization: 0.00 μB per formula unit
* symmetry: Pm-3m

a b c (Å): 4.3553 4.3553 4.3553
angles (deg): 90.00 90.00 90.00
Atoms (fractional coordinates):
Ta 0.0000 0.0000 0.5000
Ta 0.0000 0.5000 0.0000
Ta 0.5000 0.0000 0.0000
I 0.5000 0.5000 0.5000
N 0.0000 0.0000 0.0000